1.
# Tm2AlB2Os5

A relaxed structure of Tm2AlB2Os5 (PBE, Alexandria).

**Calculated volume**: 284.0 Å³/cell
**Energy relative to the elements**: -0.356 eV/atom
**Electronic total energy**: -8.575 eV per atom

Lattice parameters (Å, degrees): 3.0808 9.6008 9.6008 90.00 90.00 90.00
Last column: nearest neighbours and their distance in Å.
Fractional positions:
Tm  0.0000  0.3219  0.8219  3 B 2.69-2.95, 10 Os 2.87-2.98
Os  0.5000  0.0000  0.5000  4 B 2.28
Os  0.5000  0.2825  0.5663  2 B 2.23
B  0.0000  0.3759  0.1241  6 Os 2.23-2.28
Tm  0.0000  0.1781  0.3219  3 B 2.69-2.95, 10 Os 2.87-2.98
Os  0.5000  0.4337  0.2825  2 B 2.23
Os  0.5000  0.7825  0.9337  2 B 2.23
Tm  0.0000  0.8219  0.6781  3 B 2.69-2.95, 10 Os 2.87-2.98
Os  0.5000  0.9337  0.2175  2 B 2.23
Os  0.5000  0.5663  0.7175  2 B 2.23
Al  0.0000  0.0000  0.0000  8 Os 2.67
Os  0.5000  0.7175  0.4337  2 B 2.23
B  0.0000  0.6241  0.8759  6 Os 2.23-2.28
B  0.0000  0.1241  0.6241  6 Os 2.23-2.28
Os  0.5000  0.5000  0.0000  4 B 2.28
Os  0.5000  0.2175  0.0663  2 B 2.23
B  0.0000  0.8759  0.3759  6 Os 2.23-2.28
Os  0.5000  0.0663  0.7825  2 B 2.23
Tm  0.0000  0.6781  0.1781  3 B 2.69-2.95, 10 Os 2.87-2.98
Al  0.0000  0.5000  0.5000  8 Os 2.67

***

2.
# Tm2Al2BOs2

A relaxed structure of Tm2Al2BOs2 (PBE, Alexandria).

**Calculated volume**: 125.9 Å³/cell
**Energy relative to the elements**: -0.465 eV/atom
**Electronic total energy**: -6.974 eV per atom

Lattice parameters (Å, degrees): 4.0723 5.8410 6.1656 70.86 70.72 69.60
Last column: nearest neighbours and their distance in Å.
Fractional positions:
Os  0.2087  0.6777  0.9049  1 B 1.97
Os  0.7913  0.3223  0.0951  1 B 1.97
Al  0.1434  0.3966  0.3167  3 Os 2.50-2.52, 1 Al 2.64
Al  0.8566  0.6034  0.6833  3 Os 2.50-2.52, 1 Al 2.64
Tm  0.4305  0.8444  0.2945  2 B 2.67
B  0.0000  0.0000  0.0000  2 Os 1.97
Tm  0.5695  0.1556  0.7055  2 B 2.67

***

3.
# YAlBOs2

A relaxed structure of YAlBOs2 (PBE, Alexandria).

**Calculated volume**: 107.4 Å³/cell
**Energy relative to the elements**: 2.585 eV/atom
**Electronic total energy**: -5.284 eV per atom

Lattice parameters (Å, degrees): 4.9625 4.3601 4.9625 90.00 90.00 90.00
Last column: nearest neighbours and their distance in Å.
Fractional positions:
Os  0.5000  0.0000  0.0000  2 Y 2.48
B  0.0000  0.5000  0.0000  2 Y 2.18
Y  0.0000  0.0000  0.0000  2 B 2.18
Al  0.5000  0.5000  0.5000  8 Os 3.30, 4 B 3.51
Os  0.0000  0.0000  0.5000  2 Y 2.48

***

4.
# Y2AlB2Os5

A relaxed structure of Y2AlB2Os5 (PBE, Alexandria).

**Calculated volume**: 289.7 Å³/cell
**Energy relative to the elements**: -0.275 eV/atom
**Electronic total energy**: -8.893 eV per atom

Lattice parameters (Å, degrees): 3.0920 9.6790 9.6790 90.00 90.00 90.00
Last column: nearest neighbours and their distance in Å.
Fractional positions:
Os  0.5000  0.2816  0.5661  2 B 2.25
Y  0.0000  0.3216  0.8216  3 B 2.71-2.97, 10 Os 2.89-3.00
B  0.0000  0.3766  0.1234  6 Os 2.25-2.29
Os  0.5000  0.7184  0.4339  2 B 2.25
Os  0.5000  0.0000  0.5000  4 B 2.29
Y  0.0000  0.6784  0.1784  3 B 2.71-2.97, 10 Os 2.89-3.00
Os  0.5000  0.9339  0.2184  2 B 2.25
B  0.0000  0.8766  0.3766  6 Os 2.25-2.29
Os  0.5000  0.4339  0.2816  2 B 2.25
Os  0.5000  0.0661  0.7816  2 B 2.25
Os  0.5000  0.2184  0.0661  2 B 2.25
Y  0.0000  0.1784  0.3216  3 B 2.71-2.97, 10 Os 2.89-3.00
B  0.0000  0.6234  0.8766  6 Os 2.25-2.29
Os  0.5000  0.5000  0.0000  4 B 2.29
Y  0.0000  0.8216  0.6784  3 B 2.71-2.97, 10 Os 2.89-3.00
Os  0.5000  0.7816  0.9339  2 B 2.25
Al  0.0000  0.5000  0.5000  8 Os 2.70
Al  0.0000  0.0000  0.0000  8 Os 2.70
B  0.0000  0.1234  0.6234  6 Os 2.25-2.29
Os  0.5000  0.5661  0.7184  2 B 2.25

***

5.
# Y2Al2BOs2

A relaxed structure of Y2Al2BOs2 (PBE, Alexandria).

**Calculated volume**: 129.4 Å³/cell
**Energy relative to the elements**: -0.478 eV/atom
**Electronic total energy**: -7.557 eV per atom

Lattice parameters (Å, degrees): 4.0973 5.8875 6.2162 71.81 70.76 69.64
Last column: nearest neighbours and their distance in Å.
Fractional positions:
Y  0.4309  0.8425  0.2957  2 B 2.70
Al  0.1450  0.3963  0.3137  3 Os 2.51-2.52, 1 Al 2.68
Al  0.8550  0.6037  0.6863  3 Os 2.51-2.52, 1 Al 2.68
Os  0.2078  0.6747  0.9098  1 B 1.98
B  0.0000  0.0000  0.0000  2 Os 1.98
Y  0.5691  0.1575  0.7043  2 B 2.70
Os  0.7922  0.3253  0.0902  1 B 1.98

***

6.
# Zr2AlB2Os5

A relaxed structure of Zr2AlB2Os5 (PBE, Alexandria).

**Calculated volume**: 276.2 Å³/cell
**Energy relative to the elements**: -0.505 eV/atom
**Electronic total energy**: -9.540 eV per atom

Lattice parameters (Å, degrees): 3.0790 9.4707 9.4707 90.00 90.00 90.00
Last column: nearest neighbours and their distance in Å.
Fractional positions:
B  0.0000  0.8757  0.3757  6 Os 2.23-2.27
Os  0.5000  0.7845  0.9320  2 B 2.23
Al  0.0000  0.0000  0.0000  8 Os 2.64
Os  0.5000  0.5680  0.7155  2 B 2.23
Os  0.5000  0.4320  0.2845  2 B 2.23
B  0.0000  0.3757  0.1243  6 Os 2.23-2.27
Os  0.5000  0.7155  0.4320  2 B 2.23
Zr  0.0000  0.6771  0.1771  3 B 2.66-2.90, 10 Os 2.83-2.97
Zr  0.0000  0.3229  0.8229  3 B 2.66-2.90, 10 Os 2.83-2.97
B  0.0000  0.6243  0.8757  6 Os 2.23-2.27
Os  0.5000  0.0680  0.7845  2 B 2.23
Os  0.5000  0.2845  0.5680  2 B 2.23
Al  0.0000  0.5000  0.5000  8 Os 2.64
Os  0.5000  0.5000  0.0000  4 B 2.27
Os  0.5000  0.9320  0.2155  2 B 2.23
Zr  0.0000  0.8229  0.6771  3 B 2.66-2.90, 10 Os 2.83-2.97
B  0.0000  0.1243  0.6243  6 Os 2.23-2.27
Os  0.5000  0.2155  0.0680  2 B 2.23
Os  0.5000  0.0000  0.5000  4 B 2.27
Zr  0.0000  0.1771  0.3229  3 B 2.66-2.90, 10 Os 2.83-2.97

***

7.
# AlBP2

A relaxed structure of AlBP2 (PBE, Alexandria).

**Calculated volume**: 52.3 Å³/cell
**Energy relative to the elements**: 0.924 eV/atom
**Electronic total energy**: -4.386 eV per atom
**Relative energy among the computed polymorphs**: 1.275 eV per atom

Lattice parameters (Å, degrees): 4.1978 4.1978 4.1978 60.00 60.00 60.00
Last column: nearest neighbours and their distance in Å.
Fractional positions:
P  0.7500  0.7500  0.7500  4 Al 2.57, 4 B 2.57
B  0.0000  0.0000  0.0000  8 P 2.57
Al  0.5000  0.5000  0.5000  8 P 2.57
P  0.2500  0.2500  0.2500  4 Al 2.57, 4 B 2.57

***

8.
# AlBP2

A relaxed structure of AlBP2 (PBE, Alexandria).

**Calculated volume**: 126.5 Å³/cell
**Energy relative to the elements**: -0.351 eV/atom
**Electronic total energy**: -5.661 eV per atom
**Relative energy among the computed polymorphs**: 0.000 eV per atom

Lattice parameters (Å, degrees): 5.1066 5.1066 6.0486 65.03 65.03 90.00
Last column: nearest neighbours and their distance in Å.
Fractional positions:
B  0.5000  0.5000  0.0000  4 P 2.01
P  0.1837  0.6250  0.2500  2 B 2.01
Al  0.0000  0.0000  0.0000  4 P 2.36
P  0.5663  0.1250  0.2500  2 B 2.01
P  0.8750  0.8163  0.7500  2 B 2.01
P  0.3750  0.4337  0.7500  2 B 2.01
B  0.2500  0.7500  0.5000  4 P 2.01
Al  0.7500  0.2500  0.5000  4 P 2.36

***

9.
# AlBP3

A relaxed structure of AlBP3 (PBE, Alexandria).

**Calculated volume**: 97.8 Å³/cell
**Energy relative to the elements**: 1.558 eV/atom
**Electronic total energy**: -3.772 eV per atom
**Relative energy among the computed polymorphs**: 0.819 eV per atom

Lattice parameters (Å, degrees): 4.6071 4.6071 4.6071 90.00 90.00 90.00
Last column: nearest neighbours and their distance in Å.
Fractional positions:
P  0.0000  0.0000  0.5000  2 Al 2.30
P  0.0000  0.5000  0.0000  2 Al 2.30
P  0.5000  0.0000  0.0000  2 Al 2.30
B  0.5000  0.5000  0.5000  12 P 3.26
Al  0.0000  0.0000  0.0000  6 P 2.30

***

10.
# AlBP2

A relaxed structure of AlBP2 (PBE, Alexandria).

**Calculated volume**: 76.9 Å³/cell
**Energy relative to the elements**: 0.181 eV/atom
**Electronic total energy**: -5.129 eV per atom
**Relative energy among the computed polymorphs**: 0.532 eV per atom

Lattice parameters (Å, degrees): 3.8573 3.8573 6.3716 72.38 72.38 60.00
Last column: nearest neighbours and their distance in Å.
Fractional positions:
B  0.0000  0.0000  0.0000  2 P 1.78
P  0.9007  0.9007  0.2979  1 B 1.78
P  0.0993  0.0993  0.7021  1 B 1.78
Al  0.5000  0.5000  0.5000  6 P 2.53

***

11.
# AlBP

A relaxed structure of AlBP (PBE, Alexandria).

**Calculated volume**: 86.1 Å³/cell
**Energy relative to the elements**: 0.152 eV/atom
**Electronic total energy**: -5.124 eV per atom

Lattice parameters (Å, degrees): 3.6613 3.8541 9.3621 127.41 102.92 56.36
Last column: nearest neighbours and their distance in Å.
Fractional positions:
Al  0.0952  0.3767  0.6204  4 B 2.18-2.23
B  0.7674  0.1443  0.6841  1 P 1.83
B  0.2326  0.8557  0.3159  1 P 1.83
P  0.3371  0.4352  0.0656  1 B 1.83
P  0.6629  0.5648  0.9344  1 B 1.83
Al  0.9048  0.6233  0.3796  4 B 2.18-2.23

***

12.
# AlBP3

A relaxed structure of AlBP3 (PBE, Alexandria).

**Calculated volume**: 70.8 Å³/cell
**Energy relative to the elements**: 0.739 eV/atom
**Electronic total energy**: -4.591 eV per atom
**Relative energy among the computed polymorphs**: 0.000 eV per atom

Lattice parameters (Å, degrees): 4.1376 4.1376 4.1376 90.00 90.00 90.00
Last column: nearest neighbours and their distance in Å.
Fractional positions:
P  0.0000  0.5000  0.0000  2 B 2.07
P  0.5000  0.0000  0.0000  2 B 2.07
P  0.0000  0.0000  0.5000  2 B 2.07
Al  0.5000  0.5000  0.5000  12 P 2.93
B  0.0000  0.0000  0.0000  6 P 2.07

***

Repeat the first record exactly.
# Tm2AlB2Os5

A relaxed structure of Tm2AlB2Os5 (PBE, Alexandria).

**Calculated volume**: 284.0 Å³/cell
**Energy relative to the elements**: -0.356 eV/atom
**Electronic total energy**: -8.575 eV per atom

Lattice parameters (Å, degrees): 3.0808 9.6008 9.6008 90.00 90.00 90.00
Last column: nearest neighbours and their distance in Å.
Fractional positions:
Tm  0.0000  0.3219  0.8219  3 B 2.69-2.95, 10 Os 2.87-2.98
Os  0.5000  0.0000  0.5000  4 B 2.28
Os  0.5000  0.2825  0.5663  2 B 2.23
B  0.0000  0.3759  0.1241  6 Os 2.23-2.28
Tm  0.0000  0.1781  0.3219  3 B 2.69-2.95, 10 Os 2.87-2.98
Os  0.5000  0.4337  0.2825  2 B 2.23
Os  0.5000  0.7825  0.9337  2 B 2.23
Tm  0.0000  0.8219  0.6781  3 B 2.69-2.95, 10 Os 2.87-2.98
Os  0.5000  0.9337  0.2175  2 B 2.23
Os  0.5000  0.5663  0.7175  2 B 2.23
Al  0.0000  0.0000  0.0000  8 Os 2.67
Os  0.5000  0.7175  0.4337  2 B 2.23
B  0.0000  0.6241  0.8759  6 Os 2.23-2.28
B  0.0000  0.1241  0.6241  6 Os 2.23-2.28
Os  0.5000  0.5000  0.0000  4 B 2.28
Os  0.5000  0.2175  0.0663  2 B 2.23
B  0.0000  0.8759  0.3759  6 Os 2.23-2.28
Os  0.5000  0.0663  0.7825  2 B 2.23
Tm  0.0000  0.6781  0.1781  3 B 2.69-2.95, 10 Os 2.87-2.98
Al  0.0000  0.5000  0.5000  8 Os 2.67

***

Q: Which of these has the lowest electronic total energy?
A: Zr2AlB2Os5

***

Q: Number 9 is which compound?
A: AlBP3

***

Q: What is the energy relative to the elements in the twelfth record?
A: 0.739 eV/atom